Y2Co2Bi | PBE-GGA | relaxed

Properties
The calculation puts the formation energy at -0.0443 eV per atom. For the excess energy over the best structure of this formula in the dataset, the calculation gives 0.249 eV per atom. Its raw total energy is -6.248 eV/atom. For the density of states at the Fermi level, the calculation gives 0.968 states/eV per atom. As for the volume: 22.16 Å³ per atom.

Cell lengths 5.3548, 5.3548, 5.4095 Å; angles 60.33, 60.33, 90.00 degrees
Each line ends with the local moment (μB).
Fractional positions:
Y 0.7500 0.2500 0.5000  -0.11
Y 0.2500 0.7500 0.5000  -0.11
Co 0.3560 0.3560 0.2880  0.69
Co 0.6440 0.6440 0.7120  0.69
Bi 0.0000 0.0000 0.0000  0.03